Entry 1:
The following is a DFT calculation (PBE) of crystalline Cu2Se at its relaxed geometry.

The structure in POSCAR format:
```
Cu2Se
1.0
-3.2532 -6.1768 5.4363
-6.9706 -4.5900 2.9383
5.5110 3.7212 -5.8371
Cu Se
4 2
Direct
0.3219 0.8219 0.5000
0.1781 0.6781 0.5000
0.4281 0.4281 0.0000
0.5719 0.5719 0.0000
0.7500 0.2500 0.5000
0.0000 0.0000 0.0000
```

Raw formation energy = 0.290 eV/atom
Density = 7.112 g/cm3
Total magnetic moment = 0.000 Bohr magnetons per cell

---

Entry 2:
The following is a DFT calculation (PBE) of crystalline Sr2MnCl at its relaxed geometry.

The structure in POSCAR format:
```
Sr2MnCl
1.0
-0.2562 -3.5500 -2.0520
3.1563 -2.6297 0.0445
-2.3321 -5.9115 6.3911
Mn Sr Cl
1 2 1
Direct
0.2500 0.2500 0.2500
0.0003 0.0003 0.0000
0.4997 0.4997 0.5000
0.7500 0.7500 0.7500
```

Raw formation energy = -0.484 eV/atom
Offset from the most stable computed form = 0.045 eV per formula unit
Density = 3.471 g/cm3
Total magnetic moment = 3.667 Bohr magnetons per cell

---

Entry 3:
The following is a DFT calculation (PBE) of crystalline ZrCd2Si at its relaxed geometry.

The structure in POSCAR format:
```
ZrCd2Si
1.0
6.1800 -0.0018 0.0598
-3.4907 5.0998 0.0598
0.7360 1.3953 2.6444
Zr Cd Si
1 2 1
Direct
0.0000 0.5000 0.5000
0.5000 0.5000 0.0000
0.0000 0.0000 0.0000
0.5000 0.0000 0.5000
```

Raw formation energy = -0.051 eV/atom
Density = 6.944 g/cm3
Total magnetic moment = 0.000 Bohr magnetons per cell

---

Entry 4:
The following is a DFT calculation (PBE) of crystalline Tm3Zn8Ag at its relaxed geometry.

The structure in POSCAR format:
```
Tm3Zn8Ag
1.0
-3.7175 3.6549 1.1554
-5.1705 -1.1391 -0.6937
-3.3940 -2.1872 8.3376
Zn Tm Ag
8 3 1
Direct
0.4382 0.4382 0.1870
0.4382 0.9366 0.1870
0.9384 0.4369 0.6864
0.9384 0.9384 0.6864
0.1880 0.1880 0.4361
0.4369 0.9384 0.6864
0.6873 0.6873 0.9380
0.9366 0.4382 0.1870
0.5029 0.5029 0.4914
0.3773 0.3773 0.8680
0.9946 0.9946 0.0162
0.8733 0.8733 0.3800
```

Density = 8.760 g/cm3
Total magnetic moment = 0.000 Bohr magnetons per cell
E_tot = -2.49 eV per atom

---

Entry 5:
The following is a DFT calculation (PBE) of crystalline Dy2MnGe4Pt3 at its relaxed geometry.

The structure in POSCAR format:
```
Dy2MnGe4Pt3
1.0
-0.4250 0.5817 -4.0553
-3.6906 -1.8244 0.1251
-4.7152 9.6673 1.8808
Mn Pt Dy Ge
1 3 2 4
Direct
0.5000 0.5000 0.5000
0.5000 0.0000 0.8609
0.0000 0.5000 0.1391
0.0000 0.0000 0.5000
0.0000 0.5000 0.7426
0.5000 0.0000 0.2574
0.5000 0.0000 0.6359
0.5000 0.5000 0.0000
0.0000 0.0000 0.0000
0.0000 0.5000 0.3641
```

Density = 11.257 g/cm3
Total magnetic moment = 3.277 Bohr magnetons per cell
E_tot = -6.29 eV per atom

---

Entry 6:
The following is a DFT calculation (PBE) of crystalline VHgCl3 at its relaxed geometry.

The structure in POSCAR format:
```
VHgCl3
1.0
5.7638 0.0000 1.8117
2.5972 5.1455 1.8117
-0.0579 -0.0356 10.2587
Cl Hg V
6 2 2
Direct
0.4527 0.8071 0.6422
0.0979 0.4527 0.6422
0.8071 0.0979 0.6422
0.5473 0.1929 0.3578
0.1929 0.9021 0.3578
0.9021 0.5473 0.3578
0.6658 0.6658 0.0027
0.3342 0.3342 0.9974
0.1666 0.1666 0.5002
0.8334 0.8334 0.4998
```

Raw formation energy = -0.971 eV/atom
Offset from the most stable computed form = 0.000 eV per formula unit
Density = 3.897 g/cm3
Total magnetic moment = 4.169 Bohr magnetons per cell

---

Entry 7:
The following is a DFT calculation (PBE) of crystalline Nd3Ga2Ag at its relaxed geometry.

The structure in POSCAR format:
```
Nd3Ga2Ag
1.0
-3.6430 0.2115 0.2913
-0.3428 -1.1340 -3.4637
-0.3446 -10.8992 3.6023
Ga Nd Ag
2 3 1
Direct
0.5000 0.5000 0.8317
0.5000 0.5000 0.1683
0.0000 0.0000 0.0000
0.0000 0.0000 0.3250
0.0000 0.0000 0.6750
0.5000 0.5000 0.5000
```

Offset from the most stable computed form = 0.000 eV per formula unit
Density = 7.338 g/cm3
Total magnetic moment = 0.000 Bohr magnetons per cell

---

Entry 8:
The following is a DFT calculation (PBE) of crystalline Pd3PbBr at its relaxed geometry.

The structure in POSCAR format:
```
Pd3PbBr
1.0
5.1371 0.0000 0.0000
0.0000 5.1371 0.0000
0.0000 0.0000 5.1371
Br Pd Pb
1 3 1
Direct
0.5000 0.5000 0.5000
0.0000 0.5000 0.0000
0.5000 0.0000 0.0000
0.0000 0.0000 0.5000
0.0000 0.0000 0.0000
```

Raw formation energy = 0.651 eV/atom
Offset from the most stable computed form = 1.599 eV per formula unit
Density = 7.427 g/cm3
Total magnetic moment = 0.000 Bohr magnetons per cell

---

Entry 9:
The following is a DFT calculation (PBE) of crystalline Ag6Cl2OF3 at its relaxed geometry.

The structure in POSCAR format:
```
Ag6Cl2OF3
1.0
6.5261 -0.1574 -0.0227
-3.3978 5.5740 -0.0227
-1.0678 -1.8488 5.6400
Ag Cl F O
6 2 3 1
Direct
0.3591 0.0703 0.2551
0.7989 0.7989 0.2855
0.9297 0.6409 0.7449
0.6409 0.9297 0.7449
0.2011 0.2011 0.7145
0.0703 0.3591 0.2551
0.6592 0.3408 0.0000
0.3408 0.6592 0.0000
0.7845 0.2155 0.5000
0.2155 0.7845 0.5000
0.5000 0.5000 0.5000
0.0000 0.0000 0.0000
```

Raw formation energy = -0.570 eV/atom
Density = 6.517 g/cm3
Total magnetic moment = 1.079 Bohr magnetons per cell

---

Entry 10:
The following is a DFT calculation (PBE) of crystalline BaPm2Au at its relaxed geometry.

The structure in POSCAR format:
```
BaPm2Au
1.0
-4.6004 0.2540 -1.4114
-3.5401 -0.3439 3.2511
-2.5845 7.5330 1.5536
Ba Pm Au
1 2 1
Direct
0.4979 0.4979 0.5063
0.2831 0.2831 0.1508
0.0499 0.0499 0.8504
0.6692 0.6692 0.9925
```

Offset from the most stable computed form = 0.250 eV per formula unit
Density = 6.763 g/cm3
Total magnetic moment = 0.000 Bohr magnetons per cell

---

Entry 11:
The following is a DFT calculation (PBE) of crystalline Li2Cu3Pd at its relaxed geometry.

The structure in POSCAR format:
```
Li2Cu3Pd
1.0
-4.8433 0.3101 0.3886
2.0091 -3.6049 -2.5833
0.2306 -4.5090 6.4714
Li Cu Pd
4 6 2
Direct
0.0000 0.0000 0.0000
0.6667 0.3333 0.5854
0.3333 0.6667 0.4146
0.0000 0.0000 0.5000
0.6612 0.8306 0.7589
0.1694 0.3388 0.7589
0.1694 0.8306 0.7589
0.3388 0.1694 0.2411
0.8306 0.6612 0.2411
0.8306 0.1694 0.2411
0.6667 0.3333 0.9306
0.3333 0.6667 0.0694
```

Offset from the most stable computed form = 0.349 eV per formula unit
Density = 6.375 g/cm3
Total magnetic moment = 0.000 Bohr magnetons per cell

---

Entry 12:
The following is a DFT calculation (PBE) of crystalline RbNb3Cu4O12 at its relaxed geometry.

The structure in POSCAR format:
```
RbNb3Cu4O12
1.0
-4.2651 5.0347 2.3052
-0.9738 -0.5222 -6.9016
-2.1746 -6.0023 2.8454
Nb O Cu Rb
3 12 4 1
Direct
0.4447 0.0000 0.5553
0.0000 0.5553 0.4447
0.5553 0.4447 0.0000
0.2597 0.3738 0.9607
0.3310 0.6690 0.5000
0.6690 0.5000 0.3310
0.6262 0.7403 0.0393
0.7403 0.0393 0.6262
0.8941 0.5000 0.1059
0.1059 0.8941 0.5000
0.3738 0.9607 0.2597
0.9607 0.2597 0.3738
0.5000 0.1059 0.8941
0.0393 0.6262 0.7403
0.5000 0.3310 0.6690
0.5000 0.9425 0.0575
0.9425 0.0575 0.5000
0.0575 0.5000 0.9425
0.5000 0.5000 0.5000
0.0000 0.0000 0.0000
```

Raw formation energy = -1.598 eV/atom
Density = 4.748 g/cm3
Total magnetic moment = 4.100 Bohr magnetons per cell

---

no.,N(E_F) (states/eV/cell)
1,2.6
2,2.1
3,1.7
4,5.5
5,5.6
6,10.5
7,4.6
8,1.2
9,6.3
10,4.5
11,4.0
12,9.9